# Cs2BaCo2O6 | Alexandria | GGA+U | optimized geometry
# Energy   -0.1955 Ha/atom
# Calculated volume   22.8 Å³/atom
data_Cs2BaCo2O6
_chemical_formula_sum 'Cs4 Ba2 Co4 O12'
_space_group_name_H-M_alt 'C 1 2/m 1'
_space_group_IT_number 12
_space_group_name_Hall '-C 2y'
_cell_length_a 11.354
_cell_length_b 6.280
_cell_length_c 8.024
_cell_angle_alpha 90.00
_cell_angle_beta 118.64
_cell_angle_gamma 90.00
loop_
_atom_site_label
_atom_site_fract_x
_atom_site_fract_y
_atom_site_fract_z
Cs1 0.209 0.000 0.125
Ba1 0.000 0.000 0.500
Co1 0.081 0.500 0.251
O1 0.007 0.282 0.756
O2 0.234 0.500 0.262

# Cs2BaCoO4 | Alexandria | GGA+U | optimized geometry
# Energy   -0.1776 Ha/atom
# Calculated volume   32.7 Å³/atom
data_Cs2BaCoO4
_chemical_formula_sum 'Cs16 Ba8 Co8 O32'
_space_group_name_H-M_alt 'F d d d'
_space_group_IT_number 70
_cell_length_a 6.282
_cell_length_b 12.541
_cell_length_c 26.564
_cell_angle_alpha 90.00
_cell_angle_beta 90.00
_cell_angle_gamma 90.00
loop_
_space_group_symop_operation_xyz
'x,y,z'
'-x,-y,-z'
'-x+1/4,-y+1/4,z'
'x+1/4,y+1/4,-z'
'x,-y+1/4,-z+1/4'
'-x,y+1/4,z+1/4'
'-x+1/4,y,-z+1/4'
'x+1/4,-y,z+1/4'
'x,y+1/2,z+1/2'
'-x,-y+1/2,-z+1/2'
'-x+1/4,-y+3/4,z+1/2'
'x+1/4,y+3/4,-z+1/2'
'x,-y+3/4,-z+3/4'
'-x,y+3/4,z+3/4'
'-x+1/4,y+1/2,-z+3/4'
'x+1/4,-y+1/2,z+3/4'
'x+1/2,y,z+1/2'
'-x+1/2,-y,-z+1/2'
'-x+3/4,-y+1/4,z+1/2'
'x+3/4,y+1/4,-z+1/2'
'x+1/2,-y+1/4,-z+3/4'
'-x+1/2,y+1/4,z+3/4'
'-x+3/4,y,-z+3/4'
'x+3/4,-y,z+3/4'
'x+1/2,y+1/2,z'
'-x+1/2,-y+1/2,-z'
'-x+3/4,-y+3/4,z'
'x+3/4,y+3/4,-z'
'x+1/2,-y+3/4,-z+1/4'
'-x+1/2,y+3/4,z+1/4'
'-x+3/4,y+1/2,-z+1/4'
'x+3/4,-y+1/2,z+1/4'
loop_
_atom_site_label
_atom_site_fract_x
_atom_site_fract_y
_atom_site_fract_z
Cs1 0.125 0.125 0.320
Ba1 0.125 0.125 0.125
Co1 0.125 0.125 0.625
O1 0.050 0.286 0.840

# CsBa2CoO4 | Alexandria | GGA+U | optimized geometry
# Energy   -0.2032 Ha/atom
# Calculated volume   21.4 Å³/atom
data_CsBa2CoO4
_chemical_formula_sum 'Cs4 Ba8 Co4 O16'
_space_group_name_H-M_alt 'C m c m'
_space_group_IT_number 63
_space_group_name_Hall '-C 2c 2'
_cell_length_a 3.777
_cell_length_b 13.864
_cell_length_c 13.055
_cell_angle_alpha 90.00
_cell_angle_beta 90.00
_cell_angle_gamma 90.00
loop_
_atom_site_label
_atom_site_fract_x
_atom_site_fract_y
_atom_site_fract_z
Cs1 0.000 0.078 0.250
Ba1 0.000 0.372 0.042
Co1 0.000 0.200 0.750
O1 0.000 0.000 0.000
O2 0.000 0.255 0.625
O3 0.000 0.373 0.250

# CsBaCoO3 | Alexandria | GGA+U | optimized geometry
# Energy   -0.1968 Ha/atom
# Calculated volume   19.4 Å³/atom
data_CsBaCoO3
_chemical_formula_sum 'Cs4 Ba4 Co4 O12'
_space_group_name_H-M_alt 'C 1 2/m 1'
_space_group_IT_number 12
_space_group_name_Hall '-C 2y'
_cell_length_a 14.123
_cell_length_b 4.028
_cell_length_c 8.563
_cell_angle_alpha 90.00
_cell_angle_beta 106.61
_cell_angle_gamma 90.00
loop_
_atom_site_label
_atom_site_fract_x
_atom_site_fract_y
_atom_site_fract_z
Cs1 0.142 0.000 0.065
Ba1 0.151 0.000 0.581
Co1 0.008 0.500 0.286
O1 0.008 0.000 0.293
O2 0.125 0.500 0.779
O3 0.142 0.500 0.357